1.
! PBE Ce5Te3C, optimized geometry; values from VASP
&SYSTEM
  ibrav = 0, nat = 18, ntyp = 3
/
ATOMIC_SPECIES
Ce 140.12 Ce.upf
Te 127.60 Te.upf
C 12.01 C.upf
ATOMIC_POSITIONS angstrom
Ce -1.017 1.762 1.581
Ce -3.591 6.220 4.743
Ce 2.034 0.000 1.581
Ce 1.017 1.762 4.743
Ce 0.000 5.321 0.000
Ce 0.000 5.321 3.162
Ce 4.608 2.661 0.000
Ce 4.608 2.661 3.162
Ce 7.182 0.000 4.743
Ce 3.591 6.220 1.581
Te -1.816 3.145 4.743
Te -2.792 4.837 1.581
Te 3.632 0.000 4.743
Te 1.816 3.145 1.581
Te 5.585 0.000 1.581
Te 2.792 4.837 4.743
C 0.000 0.000 0.000
C 0.000 0.000 3.162
CELL_PARAMETERS angstrom
9.217 0.000 0.000
-4.608 7.982 0.000
0.000 0.000 6.325
! Formation energy from raw total energies = -0.961 eV/atom

=====

2.
! PBE Ce2Te2C, optimized geometry; values from VASP
&SYSTEM
  ibrav = 0, nat = 10, ntyp = 3
/
ATOMIC_SPECIES
Ce 140.12 Ce.upf
Te 127.60 Te.upf
C 12.01 C.upf
ATOMIC_POSITIONS angstrom
Ce 1.281 1.234 0.000
Ce 1.281 -1.234 3.045
Ce 2.169 7.536 0.000
Ce 2.169 5.068 3.045
Te 4.584 1.844 0.000
Te 1.134 4.458 0.000
Te 2.316 1.844 3.045
Te -1.134 4.458 3.045
C 0.000 0.000 1.522
C 0.000 0.000 4.567
CELL_PARAMETERS angstrom
-3.450 6.302 3.045
3.450 -6.302 3.045
3.450 6.302 -3.045
! Formation energy from raw total energies = -0.882 eV/atom

=====

> What is the formation energy from raw total energies in the first record?

-0.961 eV/atom

=====

> Which value of formation energy from raw total energies does entry 2 give?

-0.882 eV/atom

=====

> What is the formula in the second record?

Ce2Te2C